VASP calculation (PBE+U) on crystalline NiB2PO6 at its relaxed geometry.

Calculated values
VASP energy = -7.013 eV/atom
V = 241 Å³/cell
Fermi-level density of states = 0.000 states/eV per cell
Crystal system = monoclinic

CIF file:
```
data_NiB2PO6
_chemical_formula_sum 'Ni2 B4 P2 O12'
_symmetry_space_group_name_H-M 'P 1'
_symmetry_Int_Tables_number 1
_symmetry_space_group_name_Hall 'P 1'
_cell_length_a 4.618
_cell_length_b 7.592
_cell_length_c 7.592
_cell_angle_alpha 81.49
_cell_angle_beta 72.31
_cell_angle_gamma 72.31
loop_
_atom_site_label
_atom_site_type_symbol
_atom_site_fract_x
_atom_site_fract_y
_atom_site_fract_z
B1 B 0.041 0.377 0.278
O1 O 0.297 0.255 0.321
O2 O 0.628 0.748 0.087
Ni1 Ni 0.250 0.950 0.050
O3 O 0.703 0.745 0.679
O4 O 0.372 0.252 0.913
O5 O 0.974 0.436 0.736
B2 B 0.541 0.278 0.377
B3 B 0.959 0.623 0.722
P1 P 0.750 0.749 0.251
Ni2 Ni 0.750 0.050 0.950
O6 O 0.026 0.564 0.264
O7 O 0.526 0.264 0.564
O8 O 0.128 0.087 0.748
O9 O 0.474 0.736 0.436
B4 B 0.459 0.722 0.623
O10 O 0.797 0.321 0.255
O11 O 0.872 0.913 0.252
P2 P 0.250 0.251 0.749
O12 O 0.203 0.679 0.745
```